3
Lattice="1.694 -3.522 2.250 -2.771 -3.054 1.826 -0.267 -4.142 -1.764" Properties=species:S:1:pos:R:3 comment="GGA-PBE NbInGe, relaxed" sg=F-43m pbc="T T T"
Ge 0.000 0.000 0.000
In -0.336 -2.680 0.578
Nb -1.008 -8.039 1.734

***

12
Lattice="-2.932 6.603 4.369 -3.158 -2.266 1.304 6.119 -4.886 6.330" Properties=species:S:1:pos:R:3 comment="GGA-PBE KLaFeS3, relaxed" sg=P2_1/m pbc="T T T"
Fe -2.580 2.435 7.648
Fe 2.609 -2.984 4.355
K 0.223 -0.310 3.223
K -0.194 -0.238 8.780
La -1.930 3.278 4.244
La 1.958 -3.827 7.759
S -2.801 0.577 3.885
S -3.969 3.570 6.256
S -0.359 2.490 6.676
S 0.388 -3.038 5.327
S 3.997 -4.118 5.748
S 2.829 -1.125 8.118

***

6
Lattice="3.819 0.000 0.000 -1.909 3.307 0.000 0.000 0.000 11.531" Properties=species:S:1:pos:R:3 comment="GGA-PBE HoTmFe2Br2, relaxed" sg=P3m1 pbc="T T T"
Br 0.000 2.205 3.852
Br 1.909 1.102 7.654
Fe 1.909 1.102 0.098
Fe 0.000 2.205 11.471
Ho 0.000 0.000 9.573
Tm 0.000 0.000 1.946

***

12
Lattice="8.908 0.000 0.000 0.000 3.875 0.000 -3.214 0.000 8.781" Properties=species:S:1:pos:R:3 comment="GGA-PBE RbLuNiS3, relaxed" sg=P2_1/m pbc="T T T"
Lu 5.511 0.969 1.225
Lu 0.183 2.906 7.556
Ni 6.922 2.906 3.540
Ni -1.229 0.969 5.241
Rb 1.083 0.969 2.101
Rb 4.611 2.906 6.680
S 7.351 2.906 1.303
S 3.665 2.906 1.395
S 5.846 0.969 3.985
S -0.153 2.906 4.796
S 2.029 0.969 7.386
S -1.657 0.969 7.478

***

Number 1: total energy -15.96 eV/cell, calculated volume 21.62 A^3/atom. Number 2: total energy -69.54 eV/cell, calculated volume 28.00 A^3/atom. Number 3: total energy -34.68 eV/cell, calculated volume 24.27 A^3/atom. Number 4: total energy -62.55 eV/cell, calculated volume 25.26 A^3/atom.